(1)
## ZnNi2W (meta-GGA SCAN)

Data for a crystal of ZnNi2W relaxed with PBEsol.

a b c (Å): 3.475 3.792 3.792
angles (deg): 90.00 90.00 90.00
Each line ends with the local moment (μB).
Positions (direct):
Ni1 0.000 0.000 0.500  0.86
Ni2 0.000 0.500 0.000  0.86
W1 0.500 0.500 0.500  0.78
Zn1 0.500 0.000 0.000  0.03

Density of states at the Fermi level   2.95 states/eV/cell
E_tot   -114.7 eV per cell
DFT formation energy   0.220 eV/atom

(2)
## Zn2NiW (meta-GGA SCAN)

Data for a crystal of Zn2NiW relaxed with PBEsol.

a b c (Å): 2.625 4.482 4.791
angles (deg): 98.61 90.00 107.03
Positions (direct):
Ni1 0.497 0.993 0.520
W1 0.246 0.492 0.725
Zn1 0.003 0.006 0.019
Zn2 0.755 0.510 0.236

Density of states at the Fermi level   2.27 states/eV/cell
Energy relative to the lowest polymorph listed for this composition   0 meV per atom
E_tot   -112.2 eV per cell
DFT formation energy   0.183 eV/atom

Repeat the second record exactly.
## Zn2NiW (meta-GGA SCAN)

Data for a crystal of Zn2NiW relaxed with PBEsol.

a b c (Å): 2.625 4.482 4.791
angles (deg): 98.61 90.00 107.03
Positions (direct):
Ni1 0.497 0.993 0.520
W1 0.246 0.492 0.725
Zn1 0.003 0.006 0.019
Zn2 0.755 0.510 0.236

Density of states at the Fermi level   2.27 states/eV/cell
Energy relative to the lowest polymorph listed for this composition   0 meV per atom
E_tot   -112.2 eV per cell
DFT formation energy   0.183 eV/atom

Q: The lowest DFT formation energy belongs to which entry?
A: Zn2NiW

Q: Look up the DFT formation energy of the first one.
A: 0.220 eV/atom